w) Density functional theory data (GGA-PBE) for a relaxed structure of MnIn2I.

The value obtained for the density of states at the Fermi level is 3.70 states/eV per cell.

It has space group I-42d (No. 122), with a = 5.654 Å, b = 5.654 Å, c = 17.834 Å, α = 90.00°, β = 90.00° and γ = 90.00°. The asymmetric unit holds Mn at (0.000, 0.000, 0.000), In at (0.134, 0.250, 0.125) and I at (0.000, 0.000, 0.500).

=====

x) Density functional theory data (GGA-PBE) for a relaxed structure of MnIn2I.

The value obtained for the density of states at the Fermi level is 14.67 states/eV per cell.

It has space group Fm-3m (No. 225), with a = 7.793 Å, b = 7.793 Å, c = 7.793 Å, α = 90.00°, β = 90.00° and γ = 90.00°. The asymmetric unit holds Mn at (0.000, 0.000, 0.000), In at (0.250, 0.250, 0.250) and I at (0.000, 0.000, 0.500).

=====

w) is preferred energetically. Next in line: 0.078 eV/atom higher.

=====

w) Density functional theory data (GGA-PBE) for a relaxed structure of MnIn3I.

The value obtained for the density of states at the Fermi level is 3.77 states/eV per cell.

It has space group Pm-3m (No. 221), with a = 5.301 Å, b = 5.301 Å, c = 5.301 Å, α = 90.00°, β = 90.00° and γ = 90.00°. The asymmetric unit holds Mn at (0.000, 0.000, 0.000), In at (0.000, 0.000, 0.500) and I at (0.500, 0.500, 0.500).

=====

x) Density functional theory data (GGA-PBE) for a relaxed structure of MnIn3I.

The value obtained for the density of states at the Fermi level is 4.23 states/eV per cell.

It has space group Pm-3m (No. 221), with a = 6.220 Å, b = 6.220 Å, c = 6.220 Å, α = 90.00°, β = 90.00° and γ = 90.00°. The asymmetric unit holds Mn at (0.000, 0.000, 0.000), In at (0.000, 0.500, 0.500) and I at (0.500, 0.500, 0.500).

=====

w) is preferred energetically. Next in line: 0.792 eV/atom higher.

=====

w) Density functional theory data (GGA-PBE) for a relaxed structure of MnInI3.

The value obtained for the density of states at the Fermi level is 0.00 states/eV per cell.

It has space group Pm-3m (No. 221), with a = 5.733 Å, b = 5.733 Å, c = 5.733 Å, α = 90.00°, β = 90.00° and γ = 90.00°. The asymmetric unit holds Mn at (0.000, 0.000, 0.000), In at (0.500, 0.500, 0.500) and I at (0.000, 0.000, 0.500).

=====

x) Density functional theory data (GGA-PBE) for a relaxed structure of MnInI3.

It has space group C2 (No. 5), with a = 13.922 Å, b = 10.594 Å, c = 6.212 Å, α = 90.00°, β = 90.27° and γ = 90.00°. The asymmetric unit holds Mn at (0.000, 0.000, 0.000), Mn at (0.000, 0.342, 0.000), In at (0.218, 0.671, 0.878), I at (0.103, 0.171, 0.753), I at (0.128, 0.464, 0.236) and I at (0.129, 0.878, 0.236).

=====

x) is preferred energetically. Next in line: 0.103 eV/atom higher.

=====

w) Density functional theory data (GGA-PBE) for a relaxed structure of MnInI6.

The value obtained for the density of states at the Fermi level is 2.84 states/eV per cell.

It has space group C2/m (No. 12), with a = 7.410 Å, b = 12.986 Å, c = 7.434 Å, α = 90.00°, β = 110.55° and γ = 90.00°. The asymmetric unit holds Mn at (0.000, 0.000, 0.000), In at (0.000, 0.500, 0.500), I at (0.214, 0.148, 0.218) and I at (0.230, 0.500, 0.268).

=====

x) Density functional theory data (GGA-PBE) for a relaxed structure of MnInI6.

The value obtained for the density of states at the Fermi level is 15.51 states/eV per cell.

It has space group R-3 (No. 148, hexagonal axes), with a = 7.2765 Å, b = 7.2765 Å, c = 19.4907 Å, α = 90.00°, β = 90.00° and γ = 120.00°. The asymmetric unit holds Mn at (0.0000, 0.0000, 0.0000), In at (0.0000, 0.0000, 0.5000) and I at (0.0015, 0.3178, 0.0805).

=====

w) is preferred energetically. Next in line: 0.027 eV/atom higher.

=====

w) Density functional theory data (GGA-PBE) for a relaxed structure of MnInSbI2.

The value obtained for the density of states at the Fermi level is 2.01 states/eV per cell.

It has space group P4/mmm (No. 123), with a = 5.815 Å, b = 5.815 Å, c = 5.157 Å, α = 90.00°, β = 90.00° and γ = 90.00°. The asymmetric unit holds Mn at (0.000, 0.000, 0.000), In at (0.500, 0.500, 0.500), Sb at (0.000, 0.000, 0.500) and I at (0.000, 0.500, 0.000).

=====

x) Density functional theory data (GGA-PBE) for a relaxed structure of MnInSbI2.

The value obtained for the density of states at the Fermi level is 2.24 states/eV per cell.

It has space group P4/mmm (No. 123), with a = 5.915 Å, b = 5.915 Å, c = 5.821 Å, α = 90.00°, β = 90.00° and γ = 90.00°. The asymmetric unit holds Mn at (0.000, 0.000, 0.000), In at (0.500, 0.500, 0.500), Sb at (0.500, 0.500, 0.000) and I at (0.000, 0.500, 0.500).

=====

w) is preferred energetically. Next in line: 0.534 eV/atom higher.

=====

w) Density functional theory data (GGA-PBE) for a relaxed structure of MnInTeI2.

The value obtained for the density of states at the Fermi level is 1.96 states/eV per cell.

It has space group P4/mmm (No. 123), with a = 5.967 Å, b = 5.967 Å, c = 5.958 Å, α = 90.00°, β = 90.00° and γ = 90.00°. The asymmetric unit holds Mn at (0.000, 0.000, 0.000), In at (0.500, 0.500, 0.500), Te at (0.500, 0.500, 0.000) and I at (0.000, 0.500, 0.500).

=====

x) Density functional theory data (GGA-PBE) for a relaxed structure of MnInTeI2.

The value obtained for the density of states at the Fermi level is 3.35 states/eV per cell.

It has space group P4/mmm (No. 123), with a = 5.672 Å, b = 5.672 Å, c = 5.370 Å, α = 90.00°, β = 90.00° and γ = 90.00°. The asymmetric unit holds Mn at (0.000, 0.000, 0.000), In at (0.500, 0.500, 0.500), Te at (0.000, 0.000, 0.500) and I at (0.000, 0.500, 0.000).

=====

x) is preferred energetically. Next in line: 0.534 eV/atom higher.

=====

w) Density functional theory data (GGA-PBE) for a relaxed structure of MnInTe2I.

The value obtained for the density of states at the Fermi level is 3.92 states/eV per cell.

It has space group P4/mmm (No. 123), with a = 5.696 Å, b = 5.696 Å, c = 5.844 Å, α = 90.00°, β = 90.00° and γ = 90.00°. The asymmetric unit holds Mn at (0.000, 0.000, 0.000), In at (0.500, 0.500, 0.500), Te at (0.000, 0.500, 0.500) and I at (0.500, 0.500, 0.000).

=====

x) Density functional theory data (GGA-PBE) for a relaxed structure of MnInTe2I.

The value obtained for the density of states at the Fermi level is 3.42 states/eV per cell.

It has space group P4/mmm (No. 123), with a = 5.264 Å, b = 5.264 Å, c = 5.883 Å, α = 90.00°, β = 90.00° and γ = 90.00°. The asymmetric unit holds Mn at (0.000, 0.000, 0.000), In at (0.500, 0.500, 0.500), Te at (0.000, 0.500, 0.000) and I at (0.000, 0.000, 0.500).

=====

x) is preferred energetically. Next in line: 0.580 eV/atom higher.

=====

w) Density functional theory data (GGA-PBE) for a relaxed structure of InI2N2.

The value obtained for the density of states at the Fermi level is 6.12 states/eV per cell.

It has space group C2/m (No. 12), with a = 7.558 Å, b = 4.354 Å, c = 11.890 Å, α = 90.00°, β = 91.01° and γ = 90.00°. The asymmetric unit holds In at (0.000, 0.000, 0.000), I at (0.162, 0.500, 0.840) and N at (0.058, 0.000, 0.472).

=====

x) Density functional theory data (GGA-PBE) for a relaxed structure of InI2N2.

The value obtained for the density of states at the Fermi level is 3.52 states/eV per cell.

It has space group P4/mmm (No. 123), with a = 4.540 Å, b = 4.540 Å, c = 6.524 Å, α = 90.00°, β = 90.00° and γ = 90.00°. The asymmetric unit holds In at (0.000, 0.000, 0.000), I at (0.000, 0.000, 0.500), I at (0.500, 0.500, 0.500) and N at (0.000, 0.500, 0.000).

=====

y) Density functional theory data (GGA-PBE) for a relaxed structure of InI2N2.

The value obtained for the density of states at the Fermi level is 3.17 states/eV per cell.

It has space group P4/mmm (No. 123), with a = 4.355 Å, b = 4.355 Å, c = 7.620 Å, α = 90.00°, β = 90.00° and γ = 90.00°. The asymmetric unit holds In at (0.000, 0.000, 0.000), I at (0.500, 0.500, 0.000), I at (0.500, 0.500, 0.500) and N at (0.000, 0.500, 0.500).

=====

w) is preferred energetically. Next in line: 1.678 eV/atom higher.

=====

w) Density functional theory data (GGA-PBE) for a relaxed structure of NaInI2N.

The value obtained for the density of states at the Fermi level is 2.96 states/eV per cell.

It has space group P4/mmm (No. 123), with a = 6.150 Å, b = 6.150 Å, c = 4.158 Å, α = 90.00°, β = 90.00° and γ = 90.00°. The asymmetric unit holds Na at (0.000, 0.000, 0.000), In at (0.500, 0.500, 0.500), I at (0.000, 0.500, 0.500) and N at (0.500, 0.500, 0.000).

=====

x) Density functional theory data (GGA-PBE) for a relaxed structure of NaInI2N.

The value obtained for the density of states at the Fermi level is 1.71 states/eV per cell.

It has space group P4/mmm (No. 123), with a = 6.080 Å, b = 6.080 Å, c = 4.647 Å, α = 90.00°, β = 90.00° and γ = 90.00°. The asymmetric unit holds Na at (0.000, 0.000, 0.000), In at (0.500, 0.500, 0.500), I at (0.000, 0.500, 0.000) and N at (0.000, 0.000, 0.500).

=====

w) is preferred energetically. Next in line: 0.370 eV/atom higher.

=====

w) Density functional theory data (GGA-PBE) for a relaxed structure of NaInIN2.

The value obtained for the density of states at the Fermi level is 1.74 states/eV per cell.

It has space group P4/mmm (No. 123), with a = 4.491 Å, b = 4.491 Å, c = 6.499 Å, α = 90.00°, β = 90.00° and γ = 90.00°. The asymmetric unit holds Na at (0.000, 0.000, 0.000), In at (0.500, 0.500, 0.500), I at (0.500, 0.500, 0.000) and N at (0.000, 0.500, 0.500).

=====

x) Density functional theory data (GGA-PBE) for a relaxed structure of NaInIN2.

The value obtained for the density of states at the Fermi level is 2.18 states/eV per cell.

It has space group P4/mmm (No. 123), with a = 4.913 Å, b = 4.913 Å, c = 6.351 Å, α = 90.00°, β = 90.00° and γ = 90.00°. The asymmetric unit holds Na at (0.000, 0.000, 0.000), In at (0.500, 0.500, 0.500), I at (0.000, 0.000, 0.500) and N at (0.000, 0.500, 0.000).

=====

w) is preferred energetically. Next in line: 0.573 eV/atom higher.

=====

w) Density functional theory data (GGA-PBE) for a relaxed structure of InOsI2N.

The value obtained for the density of states at the Fermi level is 2.06 states/eV per cell.

It has space group P4/mmm (No. 123), with a = 5.680 Å, b = 5.680 Å, c = 3.779 Å, α = 90.00°, β = 90.00° and γ = 90.00°. The asymmetric unit holds In at (0.000, 0.000, 0.000), Os at (0.500, 0.500, 0.500), I at (0.000, 0.500, 0.500) and N at (0.500, 0.500, 0.000).

=====

x) Density functional theory data (GGA-PBE) for a relaxed structure of InOsI2N.

The value obtained for the density of states at the Fermi level is 5.49 states/eV per cell.

It has space group P4/mmm (No. 123), with a = 5.993 Å, b = 5.993 Å, c = 3.970 Å, α = 90.00°, β = 90.00° and γ = 90.00°. The asymmetric unit holds In at (0.000, 0.000, 0.000), Os at (0.500, 0.500, 0.500), I at (0.000, 0.500, 0.000) and N at (0.000, 0.000, 0.500).

=====

w) is preferred energetically. Next in line: 1.491 eV/atom higher.

=====

w) Density functional theory data (GGA-PBE) for a relaxed structure of InPdIN2.

The value obtained for the density of states at the Fermi level is 2.69 states/eV per cell.

It has space group P4/mmm (No. 123), with a = 4.167 Å, b = 4.167 Å, c = 6.781 Å, α = 90.00°, β = 90.00° and γ = 90.00°. The asymmetric unit holds In at (0.000, 0.000, 0.000), Pd at (0.500, 0.500, 0.500), I at (0.000, 0.000, 0.500) and N at (0.000, 0.500, 0.000).

=====

x) Density functional theory data (GGA-PBE) for a relaxed structure of InPdIN2.

The value obtained for the density of states at the Fermi level is 1.88 states/eV per cell.

It has space group P4/mmm (No. 123), with a = 4.299 Å, b = 4.299 Å, c = 5.807 Å, α = 90.00°, β = 90.00° and γ = 90.00°. The asymmetric unit holds In at (0.000, 0.000, 0.000), Pd at (0.500, 0.500, 0.500), I at (0.500, 0.500, 0.000) and N at (0.000, 0.500, 0.500).

=====

x) is preferred energetically. Next in line: 0.099 eV/atom higher.